# 1
DFT (PBE-GGA) results for an optimized crystal structure of TlSi2Tc2.

It has space group P4/mbm (No. 127), with a = 7.1437 Å, b = 7.1437 Å, c = 3.0857 Å, α = 90.00°, β = 90.00° and γ = 90.00°. The distinct sites, in fractional coordinates, are Tl at (0.0000, 0.0000, 0.0000), Si at (0.1382, 0.3618, 0.5000) and Tc at (0.1489, 0.6489, 0.0000).

The total energy is -6.803 eV per atom. For the excess energy over the best structure of this formula in the dataset, the calculation gives 0.089 eV/atom.

***

# 2
DFT (PBE-GGA) results for an optimized crystal structure of Tl2SiTc.

It has space group Immm (No. 71), with a = 3.5427 Å, b = 4.8869 Å, c = 9.1548 Å, α = 90.00°, β = 90.00° and γ = 90.00°. The distinct sites, in fractional coordinates, are Tl at (0.0000, 0.0000, 0.2504), Si at (0.0000, 0.5000, 0.0000) and Tc at (0.0000, 0.5000, 0.5000).

The total energy is -4.298 eV per atom. For the excess energy over the best structure of this formula in the dataset, the calculation gives 0.658 eV/atom.

***

# 3
DFT (PBE-GGA) results for an optimized crystal structure of Tl2SiTc.

It has space group Fm-3m (No. 225), with a = 6.9014 Å, b = 6.9014 Å, c = 6.9014 Å, α = 90.00°, β = 90.00° and γ = 90.00°. The distinct sites, in fractional coordinates, are Tl at (0.2500, 0.2500, 0.2500), Si at (0.0000, 0.0000, 0.0000) and Tc at (0.0000, 0.0000, 0.5000).

The total energy is -4.117 eV per atom. For the excess energy over the best structure of this formula in the dataset, the calculation gives 0.839 eV/atom.

***

# 4
DFT (PBE-GGA) results for an optimized crystal structure of Tl2SiTc.

It has space group Immm (No. 71), with a = 2.9870 Å, b = 3.9211 Å, c = 15.7819 Å, α = 90.00°, β = 90.00° and γ = 90.00°. The distinct sites, in fractional coordinates, are Tl at (0.0000, 0.0000, 0.1714), Si at (0.0000, 0.5000, 0.0000) and Tc at (0.0000, 0.5000, 0.5000).

The total energy is -4.934 eV per atom. For the excess energy over the best structure of this formula in the dataset, the calculation gives 0.022 eV/atom.

***

# 5
DFT (PBE-GGA) results for an optimized crystal structure of Tl2SiTc.

It has space group Pmmm (No. 47), with a = 3.3470 Å, b = 4.8637 Å, c = 4.9195 Å, α = 90.00°, β = 90.00° and γ = 90.00°. The distinct sites, in fractional coordinates, are Tl at (0.0000, 0.0000, 0.0000), Tl at (0.5000, 0.0000, 0.5000), Si at (0.0000, 0.5000, 0.5000) and Tc at (0.5000, 0.5000, 0.0000).

The total energy is -4.264 eV per atom. For the excess energy over the best structure of this formula in the dataset, the calculation gives 0.692 eV/atom.

***

# 6
DFT (PBE-GGA) results for an optimized crystal structure of TlSiTc.

It has space group Pm (No. 6), with a = 5.9661 Å, b = 3.3119 Å, c = 6.0849 Å, α = 90.00°, β = 103.96° and γ = 90.00°. The distinct sites, in fractional coordinates, are Tl at (0.0000, 0.0000, 0.0000), Tl at (0.1460, 0.5000, 0.5260), Si at (0.4530, 0.0000, 0.9955), Si at (0.6128, 0.0000, 0.4687), Tc at (0.6024, 0.5000, 0.7462) and Tc at (0.7197, 0.5000, 0.2390).

The total energy is -5.943 eV per atom. For the excess energy over the best structure of this formula in the dataset, the calculation gives 0.163 eV/atom.

***

# 7
DFT (PBE-GGA) results for an optimized crystal structure of Tl2SiTc.

It has space group P4/mmm (No. 123), with a = 3.8030 Å, b = 3.8030 Å, c = 5.5211 Å, α = 90.00°, β = 90.00° and γ = 90.00°. The distinct sites, in fractional coordinates, are Tl at (0.0000, 0.0000, 0.2478), Si at (0.5000, 0.5000, 0.5000) and Tc at (0.5000, 0.5000, 0.0000).

The total energy is -4.339 eV per atom. For the excess energy over the best structure of this formula in the dataset, the calculation gives 0.617 eV/atom.

***

# 8
DFT (PBE-GGA) results for an optimized crystal structure of TlSiTc.

It has space group Cc (No. 9), with a = 3.8696 Å, b = 11.6370 Å, c = 5.3392 Å, α = 90.00°, β = 90.22° and γ = 90.00°. The distinct sites, in fractional coordinates, are Tl at (0.0000, 0.2500, 0.0000), Si at (0.2461, 0.9999, 0.0017) and Tc at (0.2463, 0.4435, 0.2516).

The total energy is -5.932 eV per atom. For the excess energy over the best structure of this formula in the dataset, the calculation gives 0.175 eV/atom.

***

> Which of these has the lowest total energy?

TlSi2Tc2